{"formula": "MgCuMoF6", "functional": "PBE+U", "state": "optimized geometry", "lattice": [[5.485, 0.000, 0.000], [-2.743, 4.750, 0.000], [0.000, 0.000, 9.212]], "species": ["Mg", "Mg", "Cu", "Cu", "Mo", "Mo", "F", "F", "F", "F", "F", "F", "F", "F", "F", "F", "F", "F"], "frac_coords": [[0.333, 0.667, 0.250], [0.667, 0.333, 0.750], [0.000, 0.000, 0.000], [0.000, 0.000, 0.500], [0.333, 0.667, 0.750], [0.667, 0.333, 0.250], [0.012, 0.359, 0.135], [0.012, 0.653, 0.365], [0.347, 0.359, 0.365], [0.347, 0.988, 0.135], [0.359, 0.012, 0.635], [0.359, 0.347, 0.865], [0.641, 0.653, 0.135], [0.641, 0.988, 0.365], [0.653, 0.012, 0.865], [0.653, 0.641, 0.635], [0.988, 0.347, 0.635], [0.988, 0.641, 0.865]], "dft_energy_ev_per_cell": -92.2}